Here is a geometry-optimized P2W5O19 structure from the Alexandria database. Energies are from PBE+U.

Lattice parameters (Å, degrees): 6.723 5.417 21.621 75.53 90.00 90.00
Positions (direct):
P  0.028  0.695  0.804
P  0.472  0.695  0.304
P  0.528  0.305  0.696
P  0.972  0.305  0.196
W  0.330  0.426  0.074
W  0.830  0.574  0.426
W  0.170  0.426  0.574
W  0.670  0.574  0.926
W  0.166  0.147  0.352
W  0.000  0.000  0.000
W  0.834  0.853  0.648
W  0.666  0.853  0.148
W  0.500  0.000  0.500
W  0.334  0.147  0.852
O  0.998  0.631  0.618
O  0.002  0.369  0.382
O  0.668  0.286  0.460
O  0.168  0.714  0.040
O  0.664  0.785  0.461
O  0.347  0.916  0.316
O  0.661  0.655  0.345
O  0.497  0.130  0.117
O  0.339  0.345  0.655
O  0.832  0.286  0.960
O  0.502  0.631  0.118
O  0.839  0.655  0.845
O  0.503  0.870  0.883
O  0.653  0.084  0.684
O  0.161  0.345  0.155
O  0.966  0.769  0.733
O  0.675  0.925  0.575
O  0.466  0.231  0.767
O  0.649  0.554  0.685
O  0.175  0.075  0.925
O  0.332  0.714  0.540
O  0.325  0.075  0.425
O  0.825  0.925  0.075
O  0.851  0.554  0.185
O  0.498  0.369  0.882
O  0.034  0.231  0.267
O  0.149  0.446  0.815
O  0.836  0.785  0.961
O  0.534  0.769  0.233
O  0.997  0.870  0.383
O  0.153  0.916  0.816
O  0.164  0.215  0.039
O  0.351  0.446  0.315
O  0.003  0.130  0.617
O  0.847  0.084  0.184
O  0.336  0.215  0.539
O  0.000  0.500  0.500
O  0.500  0.500  0.000

Summary:
Polymorph energy (0 for the lowest one), meV/atom: 8
VASP energy, eV/atom: -7.490
Space-group type: P2_1/c
Magnetic moment, μB per atom: 0.077
Fermi-level density of states, states/eV per atom: 0.06